## 1
The following is a DFT calculation (PBE-GGA) of a relaxed structure of Gd2LuSc.

Cell lengths 3.5162, 3.5162, 9.5206 Å; angles 90.00, 90.00, 90.00 degrees
Last column: nearest neighbours and their distance in Å.
Element x y z (fractional)
1 Gd 0.0000 0.0000 0.7589  4 Sc 3.38, 4 Lu 3.50, 4 Gd 3.52
2 Lu 0.5000 0.5000 0.5000  8 Gd 3.50, 4 Lu 3.52
3 Gd 0.0000 0.0000 0.2411  4 Sc 3.38, 4 Lu 3.50, 4 Gd 3.52
4 Sc 0.5000 0.5000 0.0000  8 Gd 3.38, 4 Sc 3.52

## 2
The following is a DFT calculation (PBE-GGA) of a relaxed structure of Gd2LuSc.

Cell lengths 5.5136, 5.5136, 5.5136 Å; angles 60.00, 60.00, 60.00 degrees
Last column: nearest neighbours and their distance in Å.
Element x y z (fractional)
1 Sc 0.5000 0.5000 0.5000  8 Gd 3.38
2 Gd 0.7500 0.7500 0.7500  4 Sc 3.38, 4 Lu 3.38
3 Lu 0.0000 0.0000 0.0000  8 Gd 3.38
4 Gd 0.2500 0.2500 0.2500  4 Lu 3.38, 4 Sc 3.38

Going by the energies, 1 is most stable and the next is 0.041 eV/atom up.

## 1
The following is a DFT calculation (PBE-GGA) of a relaxed structure of GdLuSi.

Cell lengths 3.3739, 3.3739, 6.9697 Å; angles 104.01, 104.01, 90.00 degrees
Last column: nearest neighbours and their distance in Å.
Element x y z (fractional)
1 Lu 0.6470 0.6470 0.2941  4 Si 2.95
2 Si 0.2801 0.2801 0.5603  4 Lu 2.95, 4 Gd 3.03
3 Gd 0.9228 0.9228 0.8457  4 Si 3.03, 4 Gd 3.37

## 2
The following is a DFT calculation (PBE-GGA) of a relaxed structure of GdLuSi.

Cell lengths 4.8097, 4.8097, 4.8097 Å; angles 60.00, 60.00, 60.00 degrees
Last column: nearest neighbours and their distance in Å.
Element x y z (fractional)
1 Lu 0.5000 0.5000 0.5000  4 Si 2.95
2 Si 0.2500 0.2500 0.2500  4 Gd 2.95, 4 Lu 2.95
3 Gd 0.0000 0.0000 0.0000  4 Si 2.95

Going by the energies, 2 is most stable and the next is 0.080 eV/atom up.

## 1
The following is a DFT calculation (PBE-GGA) of a relaxed structure of Sm2GdLu.

Cell lengths 5.6927, 5.6927, 5.6927 Å; angles 60.00, 60.00, 60.00 degrees
Last column: nearest neighbours and their distance in Å.
Element x y z (fractional)
1 Lu 0.0000 0.0000 0.0000  8 Sm 3.49
2 Gd 0.5000 0.5000 0.5000  8 Sm 3.49
3 Sm 0.7500 0.7500 0.7500  4 Lu 3.49, 4 Gd 3.49
4 Sm 0.2500 0.2500 0.2500  4 Lu 3.49, 4 Gd 3.49

## 2
The following is a DFT calculation (PBE-GGA) of a relaxed structure of Sm2GdLu.

Cell lengths 5.0345, 5.0588, 5.0588 Å; angles 90.00, 90.00, 90.00 degrees
Last column: nearest neighbours and their distance in Å.
Element x y z (fractional)
1 Lu 0.5000 0.5000 0.5000  8 Sm 3.57, 4 Gd 3.58
2 Gd 0.5000 0.0000 0.0000  8 Sm 3.57, 4 Lu 3.58
3 Sm 0.0000 0.5000 0.0000  4 Gd 3.57, 4 Lu 3.57, 4 Sm 3.58
4 Sm 0.0000 0.0000 0.5000  4 Gd 3.57, 4 Lu 3.57, 4 Sm 3.58

Going by the energies, 2 is most stable and the next is 0.096 eV/atom up.

## 1
The following is a DFT calculation (PBE-GGA) of a relaxed structure of Gd2LuSn.

Cell lengths 4.1754, 4.1754, 6.6297 Å; angles 90.00, 90.00, 90.00 degrees
Last column: nearest neighbours and their distance in Å.
Element x y z (fractional)
1 Lu 0.5000 0.5000 0.5000  2 Sn 3.31, 8 Gd 3.44
2 Gd 0.0000 0.0000 0.2348  1 Gd 3.11, 4 Sn 3.34, 4 Lu 3.44
3 Gd 0.0000 0.0000 0.7652  1 Gd 3.11, 4 Sn 3.34, 4 Lu 3.44
4 Sn 0.5000 0.5000 0.0000  2 Lu 3.31, 8 Gd 3.34

## 2
The following is a DFT calculation (PBE-GGA) of a relaxed structure of Gd2LuSn.

Cell lengths 5.4142, 5.4142, 5.4142 Å; angles 60.00, 60.00, 60.00 degrees
Last column: nearest neighbours and their distance in Å.
Element x y z (fractional)
1 Gd 0.7500 0.7500 0.7500  4 Sn 3.32, 4 Lu 3.32
2 Sn 0.5000 0.5000 0.5000  8 Gd 3.32
3 Gd 0.2500 0.2500 0.2500  4 Sn 3.32, 4 Lu 3.32
4 Lu 0.0000 0.0000 0.0000  8 Gd 3.32

## 3
The following is a DFT calculation (PBE-GGA) of a relaxed structure of Gd2LuSn.

Cell lengths 4.8546, 4.7981, 4.7981 Å; angles 90.00, 90.00, 90.00 degrees
Last column: nearest neighbours and their distance in Å.
Element x y z (fractional)
1 Gd 0.0000 0.0000 0.5000  4 Gd 3.39, 4 Lu 3.41, 4 Sn 3.41
2 Sn 0.5000 0.0000 0.0000  4 Lu 3.39, 8 Gd 3.41
3 Lu 0.5000 0.5000 0.5000  4 Sn 3.39, 8 Gd 3.41
4 Gd 0.0000 0.5000 0.0000  4 Gd 3.39, 4 Lu 3.41, 4 Sn 3.41

Going by the energies, 3 is most stable and the next is 0.058 eV/atom up.

## 1
The following is a DFT calculation (PBE-GGA) of a relaxed structure of SrGdLu.

Cell lengths 3.7088, 3.7088, 9.2398 Å; angles 90.00, 90.00, 120.00 degrees
Last column: nearest neighbours and their distance in Å.
Element x y z (fractional)
1 Sr 0.0000 0.0000 0.0055  6 Sr 3.71, 3 Lu 3.85, 3 Gd 3.98
2 Lu 0.6667 0.3333 0.3522  3 Gd 3.43, 6 Lu 3.71
3 Gd 0.3333 0.6667 0.6423  3 Lu 3.43, 6 Gd 3.71

## 2
The following is a DFT calculation (PBE-GGA) of a relaxed structure of SrGdLu.

Cell lengths 3.7540, 3.7540, 8.3144 Å; angles 103.05, 103.05, 90.00 degrees
Last column: nearest neighbours and their distance in Å.
Element x y z (fractional)
1 Lu 0.3191 0.3191 0.6382  4 Gd 3.40, 4 Lu 3.75
2 Gd 0.6839 0.6839 0.3679  4 Lu 3.40, 4 Gd 3.75
3 Sr 0.9970 0.9970 0.9939  4 Sr 3.75, 4 Lu 3.86, 4 Gd 3.97

Going by the energies, 2 is most stable and the next is 0.031 eV/atom up.

## 1
The following is a DFT calculation (PBE-GGA) of a relaxed structure of Tb2GdLu.

Cell lengths 5.0094, 4.9974, 4.9974 Å; angles 90.00, 90.00, 90.00 degrees
Last column: nearest neighbours and their distance in Å.
Element x y z (fractional)
1 Lu 0.5000 0.5000 0.5000  4 Gd 3.53, 8 Tb 3.54
2 Tb 0.0000 0.0000 0.5000  4 Tb 3.53, 4 Gd 3.54, 4 Lu 3.54
3 Tb 0.0000 0.5000 0.0000  4 Tb 3.53, 4 Lu 3.54, 4 Gd 3.54
4 Gd 0.5000 0.0000 0.0000  4 Lu 3.53, 8 Tb 3.54

## 2
The following is a DFT calculation (PBE-GGA) of a relaxed structure of Tb2GdLu.

Cell lengths 5.6450, 5.6450, 5.6450 Å; angles 60.00, 60.00, 60.00 degrees
Last column: nearest neighbours and their distance in Å.
Element x y z (fractional)
1 Gd 0.5000 0.5000 0.5000  8 Tb 3.46
2 Lu 0.0000 0.0000 0.0000  8 Tb 3.46
3 Tb 0.7500 0.7500 0.7500  4 Gd 3.46, 4 Lu 3.46
4 Tb 0.2500 0.2500 0.2500  4 Gd 3.46, 4 Lu 3.46

Going by the energies, 1 is most stable and the next is 0.104 eV/atom up.

## 1
The following is a DFT calculation (PBE-GGA) of a relaxed structure of TbGd2Lu.

Cell lengths 4.9961, 5.0149, 5.0149 Å; angles 90.00, 90.00, 90.00 degrees
Last column: nearest neighbours and their distance in Å.
Element x y z (fractional)
1 Lu 0.5000 0.0000 0.0000  8 Gd 3.54, 4 Tb 3.55
2 Gd 0.0000 0.5000 0.0000  4 Tb 3.54, 4 Lu 3.54, 4 Gd 3.55
3 Gd 0.0000 0.0000 0.5000  4 Tb 3.54, 4 Lu 3.54, 4 Gd 3.55
4 Tb 0.5000 0.5000 0.5000  8 Gd 3.54, 4 Lu 3.55

## 2
The following is a DFT calculation (PBE-GGA) of a relaxed structure of TbGd2Lu.

Cell lengths 5.6435, 5.6435, 5.6435 Å; angles 60.00, 60.00, 60.00 degrees
Last column: nearest neighbours and their distance in Å.
Element x y z (fractional)
1 Tb 0.0000 0.0000 0.0000  8 Gd 3.46
2 Gd 0.2500 0.2500 0.2500  4 Lu 3.46, 4 Tb 3.46
3 Lu 0.5000 0.5000 0.5000  8 Gd 3.46
4 Gd 0.7500 0.7500 0.7500  4 Tb 3.46, 4 Lu 3.46

Going by the energies, 1 is most stable and the next is 0.072 eV/atom up.

## 1
The following is a DFT calculation (PBE-GGA) of a relaxed structure of TbGdLu.

Cell lengths 3.4445, 5.5969, 5.5969 Å; angles 120.00, 90.00, 90.00 degrees
Last column: nearest neighbours and their distance in Å.
Element x y z (fractional)
1 Gd 0.1670 0.0000 0.0000  3 Lu 3.23, 2 Gd 3.44
2 Lu 0.1663 0.6667 0.3333  3 Gd 3.23, 2 Lu 3.44
3 Tb 0.6667 0.3333 0.6667  2 Tb 3.44, 6 Lu 3.66, 6 Gd 3.66

## 2
The following is a DFT calculation (PBE-GGA) of a relaxed structure of TbGdLu.

Cell lengths 3.5401, 3.5401, 7.8839 Å; angles 102.97, 102.97, 90.00 degrees
Last column: nearest neighbours and their distance in Å.
Element x y z (fractional)
1 Gd 0.3324 0.3324 0.6648  4 Lu 3.54, 4 Gd 3.54, 4 Tb 3.57
2 Tb 0.0023 0.0023 0.0045  4 Lu 3.49, 4 Tb 3.54, 4 Gd 3.57
3 Lu 0.6653 0.6653 0.3307  4 Tb 3.49, 4 Gd 3.54, 4 Lu 3.54

Going by the energies, 2 is most stable and the next is 0.044 eV/atom up.

## 1
The following is a DFT calculation (PBE-GGA) of a relaxed structure of Gd2LuTe.

Cell lengths 4.5239, 4.9823, 4.9823 Å; angles 90.00, 90.00, 90.00 degrees
Last column: nearest neighbours and their distance in Å.
Element x y z (fractional)
1 Lu 0.5000 0.5000 0.5000  8 Gd 3.36, 4 Te 3.52
2 Te 0.5000 0.0000 0.0000  8 Gd 3.36, 4 Lu 3.52
3 Gd 0.0000 0.0000 0.5000  4 Te 3.36, 4 Lu 3.36, 4 Gd 3.52
4 Gd 0.0000 0.5000 0.0000  4 Te 3.36, 4 Lu 3.36, 4 Gd 3.52

## 2
The following is a DFT calculation (PBE-GGA) of a relaxed structure of Gd2LuTe.

Cell lengths 3.8683, 3.8683, 10.1271 Å; angles 78.99, 78.99, 60.00 degrees
Last column: nearest neighbours and their distance in Å.
Element x y z (fractional)
1 Gd 0.2604 0.2604 0.2189  3 Te 3.11
2 Te 0.0000 0.0000 0.0000  6 Gd 3.11
3 Lu 0.5000 0.5000 0.5000  6 Gd 3.56, 6 Lu 3.87
4 Gd 0.7396 0.7396 0.7811  3 Te 3.11

Going by the energies, 2 is most stable and the next is 0.079 eV/atom up.

## 1
The following is a DFT calculation (PBE-GGA) of a relaxed structure of GdLuTe.

Cell lengths 3.8449, 3.8449, 6.3738 Å; angles 107.55, 107.55, 90.00 degrees
Last column: nearest neighbours and their distance in Å.
Element x y z (fractional)
1 Te 0.6733 0.6733 0.3467  4 Lu 3.20, 4 Gd 3.33
2 Lu 0.3195 0.3195 0.6391  4 Te 3.20, 4 Gd 3.47
3 Gd 0.0071 0.0071 0.0143  4 Te 3.33, 5 Lu 3.47-3.60

## 2
The following is a DFT calculation (PBE-GGA) of a relaxed structure of GdLuTe.

Cell lengths 3.9290, 5.1400, 5.1400 Å; angles 120.00, 90.00, 90.00 degrees
Last column: nearest neighbours and their distance in Å.
Element x y z (fractional)
1 Te 0.2733 0.3333 0.6667  3 Lu 3.03, 3 Gd 3.25
2 Lu 0.1142 0.0000 0.0000  3 Te 3.03
3 Gd 0.6124 0.6667 0.3333  3 Te 3.25, 6 Lu 3.56

Going by the energies, 1 is most stable and the next is 0.282 eV/atom up.

## 1
The following is a DFT calculation (PBE-GGA) of a relaxed structure of Gd2LuTh.

Cell lengths 3.5597, 3.5597, 11.7322 Å; angles 81.27, 81.27, 60.00 degrees
Last column: nearest neighbours and their distance in Å.
Element x y z (fractional)
1 Lu 0.5000 0.5000 0.5000  6 Lu 3.56, 6 Gd 3.57
2 Th 0.0000 0.0000 0.0000  6 Gd 3.52, 6 Th 3.56
3 Gd 0.7492 0.7492 0.7523  3 Th 3.52, 6 Gd 3.56, 3 Lu 3.57
4 Gd 0.2508 0.2508 0.2477  3 Th 3.52, 6 Gd 3.56, 3 Lu 3.57

## 2
The following is a DFT calculation (PBE-GGA) of a relaxed structure of Gd2LuTh.

Cell lengths 3.5576, 3.5576, 10.0313 Å; angles 90.00, 90.00, 90.00 degrees
Last column: nearest neighbours and their distance in Å.
Element x y z (fractional)
1 Gd 0.0000 0.0000 0.2533  4 Th 3.53, 4 Gd 3.56, 4 Lu 3.58
2 Lu 0.5000 0.5000 0.0000  4 Lu 3.56, 8 Gd 3.58
3 Th 0.5000 0.5000 0.5000  8 Gd 3.53, 4 Th 3.56
4 Gd 0.0000 0.0000 0.7467  4 Th 3.53, 4 Gd 3.56, 4 Lu 3.58

Going by the energies, 1 is most stable and the next is 0.007 eV/atom up.

## 1
The following is a DFT calculation (PBE-GGA) of a relaxed structure of GdLuTl2.

Cell lengths 5.3507, 5.3507, 5.3507 Å; angles 60.00, 60.00, 60.00 degrees
Last column: nearest neighbours and their distance in Å.
Element x y z (fractional)
1 Tl 0.2500 0.2500 0.2500  4 Gd 3.28, 4 Lu 3.28
2 Tl 0.7500 0.7500 0.7500  4 Gd 3.28, 4 Lu 3.28
3 Gd 0.5000 0.5000 0.5000  8 Tl 3.28
4 Lu 0.0000 0.0000 0.0000  8 Tl 3.28

## 2
The following is a DFT calculation (PBE-GGA) of a relaxed structure of GdLuTl2.

Cell lengths 3.6997, 3.6997, 9.9463 Å; angles 79.28, 79.28, 60.00 degrees
Last column: nearest neighbours and their distance in Å.
Element x y z (fractional)
1 Tl 0.7480 0.7480 0.7559  3 Lu 3.19, 3 Gd 3.28
2 Lu 0.0000 0.0000 0.0000  6 Tl 3.19
3 Tl 0.2520 0.2520 0.2441  3 Lu 3.19, 3 Gd 3.28
4 Gd 0.5000 0.5000 0.5000  6 Tl 3.28

Going by the energies, 1 is most stable and the next is 0.079 eV/atom up.